Below is a geometry-optimized SbHIrNF structure, with properties calculated at the PBE-GGA level.

POSCAR file:
```
SbHIrNF
1.0
-3.647 0.486 1.304
-1.269 -2.907 -2.465
1.394 -3.122 2.963
Sb Ir F N H
1 1 1 1 1
Cartesian
-1.833 -2.466 0.578
0.174 -3.878 1.210
-1.725 -0.649 1.653
1.006 -2.590 2.536
-3.254 0.410 1.192
```

Calculated values
- E above lowest polymorph: 0.00 eV/f.u.
- Crystal system: monoclinic

=====

Below is a geometry-optimized CsMgFeCl6 structure, with properties calculated at the PBE-GGA level.

POSCAR file:
```
CsMgFeCl6
1.0
6.306 0.000 0.000
3.153 5.461 0.000
0.000 0.000 7.852
Mg Fe Cl Cs
1 1 6 1
Cartesian
3.153 1.820 3.926
6.306 3.640 3.926
7.119 5.319 2.586
8.166 3.506 5.266
4.445 3.505 2.586
7.353 2.097 2.586
5.259 2.097 5.266
5.492 5.319 5.266
6.306 0.000 7.852
```

Calculated values
- Crystal system: trigonal
- Formation energy (no corrections): -1322.5 meV/atom

=====

Below is a geometry-optimized NaMgCdPb3 structure, with properties calculated at the PBE-GGA level.

POSCAR file:
```
NaMgCdPb3
1.0
4.773 0.000 0.000
0.000 7.435 -0.995
0.000 -2.808 9.655
Pb Cd Mg Na
6 2 2 2
Cartesian
1.193 -1.636 8.946
3.580 2.290 1.497
3.580 1.102 4.894
1.193 2.336 7.162
3.580 6.262 -0.287
1.193 3.525 3.765
1.193 -0.868 5.863
3.580 5.495 2.797
1.193 4.250 0.626
3.580 0.377 8.033
1.193 0.155 2.684
3.580 4.472 5.975
```

Calculated values
- Crystal system: monoclinic

=====

Below is a geometry-optimized LiAlRe2 structure, with properties calculated at the PBE-GGA level.

POSCAR file:
```
LiAlRe2
1.0
-1.864 -0.223 6.501
5.258 -4.033 1.369
3.138 -0.085 4.418
Re Li Al
4 2 2
Cartesian
0.306 -0.661 5.237
3.709 -1.722 6.287
3.809 -2.573 2.875
5.242 -3.724 10.179
5.047 -3.122 4.861
1.697 -2.128 3.935
0.000 0.000 0.000
1.486 -1.217 7.427
```

Calculated values
- Crystal system: tetragonal

=====

Below is a geometry-optimized NiWSe structure, with properties calculated at the PBE-GGA level.

POSCAR file:
```
NiWSe
1.0
-1.834 0.167 2.387
1.819 -2.380 -0.340
4.252 2.811 3.070
Se W Ni
1 1 1
Cartesian
2.081 -0.553 1.637
2.206 1.183 3.515
4.203 2.778 3.034
```

Calculated values
- E above lowest polymorph: 0.24 eV/f.u.
- Crystal system: trigonal
- Formation energy (no corrections): 262.5 meV/atom

=====

Table of final energy (eV per atom), in record order: -5.66, -3.77, -2.57, -6.89, -7.14